# Zn4Ni3Au2

A relaxed structure of Zn4Ni3Au2 (GGA-PBE, Alexandria via LeMat-Bulk).

## Properties
E = -3.384 eV/atom

a = 3.908 Å, b = 4.549 Å, c = 7.984 Å
α = 77.05°, β = 90.00°, γ = 64.56°
Fractional coordinates of all 9 atoms:
Zn  0.662  0.676  0.887
Zn  0.015  0.971  0.349
Zn  0.985  0.029  0.651
Zn  0.338  0.324  0.113
Ni  0.339  0.322  0.439
Ni  0.000  0.000  0.000
Ni  0.661  0.678  0.561
Au  0.329  0.342  0.776
Au  0.671  0.658  0.224